<1>
An optimized crystal structure of Li3Y, computed with PBE.

Computed properties:
Total magnetic moment   0.000 μB per cell
SG   No. 71

Cell: 5.9787 5.9787 5.9787 Å, 146.98 126.33 64.47°
Closest atoms and distances in Å follow each position.
Sites, in units of the cell vectors:
Li: 0.0000 0.0000 0.0000  4 Li 2.83
Li: 0.2240 0.7240 0.5000  2 Li 2.83
Li: 0.7760 0.2760 0.5000  2 Li 2.83
Y: 0.5000 0.5000 0.0000  12 Li 3.19-3.52, 2 Y 3.40

---

<2>
An optimized crystal structure of Li3Y, computed with PBE.

Computed properties:
Total magnetic moment   1.101 μB per cell
SG   No. 221

Cell: 4.6079 4.6079 4.6079 Å, 90.00 90.00 90.00°
Closest atoms and distances in Å follow each position.
Sites, in units of the cell vectors:
Li: 0.0000 0.0000 0.5000  4 Y 3.26, 8 Li 3.26
Li: 0.0000 0.5000 0.0000  4 Y 3.26, 8 Li 3.26
Li: 0.5000 0.0000 0.0000  4 Y 3.26, 8 Li 3.26
Y: 0.5000 0.5000 0.5000  12 Li 3.26

---

<3>
An optimized crystal structure of Li3Y, computed with PBE.

Computed properties:
Total magnetic moment   0.000 μB per cell
SG   No. 166

Cell: 6.0049 6.0049 6.0049 Å, 116.91 116.91 116.91°
Closest atoms and distances in Å follow each position.
Sites, in units of the cell vectors:
Li: 0.0000 0.5000 0.5000  6 Li 3.14-3.20, 2 Y 3.14
Li: 0.5000 0.0000 0.5000  2 Y 3.14, 6 Li 3.14-3.20
Li: 0.5000 0.5000 0.0000  6 Li 3.14-3.20, 2 Y 3.14
Y: 0.0000 0.0000 0.0000  6 Li 3.14, 2 Y 3.20

---

Short version: <1> is the most stable of them.

---

<1>
An optimized crystal structure of Li3Y, computed with PBE.

Computed properties:
Total magnetic moment   0.000 μB per cell
SG   No. 63

Cell: 7.3371 7.3371 3.4620 Å, 90.00 90.00 91.65°
Closest atoms and distances in Å follow each position.
Sites, in units of the cell vectors:
Li: 0.1032 0.8968 0.7500  6 Li 2.78-2.94
Li: 0.1105 0.3518 0.7500  6 Li 2.94-3.25, 2 Y 3.25
Li: 0.3518 0.1105 0.2500  6 Li 2.94-3.25, 2 Y 3.25
Li: 0.6482 0.8895 0.7500  6 Li 2.94-3.25, 2 Y 3.25
Li: 0.8895 0.6482 0.2500  6 Li 2.94-3.25, 2 Y 3.25
Li: 0.8968 0.1032 0.2500  6 Li 2.78-2.94
Y: 0.3613 0.6387 0.2500  8 Li 3.22-3.46, 4 Y 3.39-3.46
Y: 0.6387 0.3613 0.7500  8 Li 3.22-3.46, 4 Y 3.39-3.46

---

<2>
An optimized crystal structure of Li3Y, computed with PBE.

Computed properties:
Total magnetic moment   2.946 μB per cell
SG   No. 221

Cell: 6.3843 6.3843 6.3843 Å, 90.00 90.00 90.00°
Closest atoms and distances in Å follow each position.
Sites, in units of the cell vectors:
Li: 0.0000 0.0000 0.5000  2 Y 3.19
Li: 0.0000 0.5000 0.0000  2 Y 3.19
Li: 0.5000 0.0000 0.0000  2 Y 3.19
Y: 0.0000 0.0000 0.0000  6 Li 3.19

---

Short version: <1> is the most stable of them.

---

<1>
An optimized crystal structure of Li3Y, computed with PBE.

Computed properties:
Total magnetic moment   0.000 μB per cell
SG   No. 166

Cell: 10.4138 10.4138 10.4138 Å, 18.38 18.38 18.38°
Closest atoms and distances in Å follow each position.
Sites, in units of the cell vectors:
Li: 0.0000 0.0000 0.0000  12 Li 3.03-3.33
Li: 0.2570 0.2570 0.2570  9 Li 3.03-3.33, 3 Y 3.37
Li: 0.7430 0.7430 0.7430  9 Li 3.03-3.33, 3 Y 3.37
Y: 0.5000 0.5000 0.5000  6 Y 3.33, 6 Li 3.37

---

<2>
An optimized crystal structure of Li3Y, computed with PBE.

Computed properties:
Total magnetic moment   0.306 μB per cell
SG   No. 129

Cell: 3.6473 3.6473 13.9482 Å, 90.00 90.00 90.00°
Closest atoms and distances in Å follow each position.
Sites, in units of the cell vectors:
Li: 0.2500 0.2500 0.0558  10 Li 2.99-3.12
Li: 0.2500 0.2500 0.2704  5 Li 2.95-2.99, 4 Y 3.28
Li: 0.2500 0.2500 0.8323  9 Li 2.95-3.12
Li: 0.7500 0.7500 0.1677  9 Li 2.95-3.12
Li: 0.7500 0.7500 0.7296  5 Li 2.95-2.99, 4 Y 3.28
Li: 0.7500 0.7500 0.9442  10 Li 2.99-3.12
Y: 0.2500 0.2500 0.5838  5 Li 3.28-3.47, 8 Y 3.48-3.65
Y: 0.7500 0.7500 0.4162  5 Li 3.28-3.47, 8 Y 3.48-3.65

---

Short version: <2> is the most stable of them.

---

<1>
An optimized crystal structure of Li3Y, computed with PBE.

Computed properties:
Total magnetic moment   0.000 μB per cell
SG   No. 65

Cell: 5.5672 5.5672 3.2513 Å, 90.00 90.00 105.46°
Closest atoms and distances in Å follow each position.
Sites, in units of the cell vectors:
Li: 0.0000 0.0000 0.0000  10 Li 3.22-3.25, 2 Y 3.37
Li: 0.0000 0.5000 0.5000  4 Y 3.22, 8 Li 3.22-3.37
Li: 0.5000 0.0000 0.5000  4 Y 3.22, 8 Li 3.22-3.37
Y: 0.5000 0.5000 0.0000  10 Li 3.22-3.37, 2 Y 3.25

---

<2>
An optimized crystal structure of Li3Y, computed with PBE.

Computed properties:
Total magnetic moment   3.659 μB per cell
SG   No. 194

Cell: 6.5606 6.5606 10.2048 Å, 90.00 90.00 120.00°
Closest atoms and distances in Å follow each position.
Sites, in units of the cell vectors:
Li: 0.0000 0.5000 0.0000  8 Li 3.14-3.28, 4 Y 3.18-3.28
Li: 0.0000 0.5000 0.5000  8 Li 3.14-3.28, 4 Y 3.18-3.28
Li: 0.1788 0.3576 0.2500  6 Li 3.04-3.14, 4 Y 3.26-3.28
Li: 0.1788 0.8212 0.2500  6 Li 3.04-3.14, 4 Y 3.26-3.28
Li: 0.3576 0.1788 0.7500  6 Li 3.04-3.14, 4 Y 3.26-3.28
Li: 0.5000 0.0000 0.0000  8 Li 3.14-3.28, 4 Y 3.18-3.28
Li: 0.5000 0.0000 0.5000  8 Li 3.14-3.28, 4 Y 3.18-3.28
Li: 0.5000 0.5000 0.0000  8 Li 3.14-3.28, 4 Y 3.18-3.28
Li: 0.5000 0.5000 0.5000  8 Li 3.14-3.28, 4 Y 3.18-3.28
Li: 0.6424 0.8212 0.2500  6 Li 3.04-3.14, 4 Y 3.26-3.28
Li: 0.8212 0.1788 0.7500  6 Li 3.04-3.14, 4 Y 3.26-3.28
Li: 0.8212 0.6424 0.7500  6 Li 3.04-3.14, 4 Y 3.26-3.28
Y: 0.0000 0.0000 0.0000  12 Li 3.26-3.28
Y: 0.0000 0.0000 0.5000  12 Li 3.26-3.28
Y: 0.3333 0.6667 0.7500  12 Li 3.18-3.28
Y: 0.6667 0.3333 0.2500  12 Li 3.18-3.28

---

Short version: <1> is the most stable of them.

---

<1>
An optimized crystal structure of Li3Y, computed with PBE.

Computed properties:
Total magnetic moment   0.005 μB per cell
SG   No. 139

Cell: 5.6237 5.6237 5.6237 Å, 133.30 133.30 68.18°
Closest atoms and distances in Å follow each position.
Sites, in units of the cell vectors:
Li: 0.0000 0.0000 0.0000  4 Y 3.15, 8 Li 3.22
Li: 0.2500 0.7500 0.5000  8 Li 3.15-3.22, 4 Y 3.22
Li: 0.7500 0.2500 0.5000  8 Li 3.15-3.22, 4 Y 3.22
Y: 0.5000 0.5000 0.0000  12 Li 3.15-3.22

---

<2>
An optimized crystal structure of Li3Y, computed with PBE.

Computed properties:
Total magnetic moment   0.000 μB per cell
SG   No. 65

Cell: 3.2225 3.2225 10.0551 Å, 90.00 90.00 109.93°
Closest atoms and distances in Å follow each position.
Sites, in units of the cell vectors:
Li: 0.0000 0.0000 0.0000  8 Li 2.98-3.22
Li: 0.5000 0.5000 0.2322  6 Li 2.98-3.22, 2 Y 3.27
Li: 0.5000 0.5000 0.7678  6 Li 2.98-3.22, 2 Y 3.27
Y: 0.0000 0.0000 0.5000  4 Y 3.22, 4 Li 3.27

---

<3>
An optimized crystal structure of Li3Y, computed with PBE.

Computed properties:
Total magnetic moment   0.131 μB per cell
SG   No. 123

Cell: 3.4739 3.4739 7.6178 Å, 90.00 90.00 90.00°
Closest atoms and distances in Å follow each position.
Sites, in units of the cell vectors:
Li: 0.0000 0.0000 0.0000  8 Li 2.92
Li: 0.5000 0.5000 0.2078  5 Li 2.92-3.17
Li: 0.5000 0.5000 0.7922  5 Li 2.92-3.17
Y: 0.0000 0.0000 0.5000  8 Li 3.32, 4 Y 3.47

---

<4>
An optimized crystal structure of Li3Y, computed with PBE.

Computed properties:
Total magnetic moment   0.000 μB per cell
SG   No. 225

Cell: 5.0811 5.0811 5.0811 Å, 60.00 60.00 60.00°
Closest atoms and distances in Å follow each position.
Sites, in units of the cell vectors:
Li: 0.0000 0.0000 0.0000  8 Li 3.11
Li: 0.2500 0.2500 0.2500  4 Y 3.11, 4 Li 3.11
Li: 0.7500 0.7500 0.7500  4 Y 3.11, 4 Li 3.11
Y: 0.5000 0.5000 0.5000  8 Li 3.11

---

Short version: <3> is the most stable of them.

---

<1>
An optimized crystal structure of Li3Y, computed with PBE.

Computed properties:
Total magnetic moment   0.008 μB per cell
SG   No. 194

Cell: 6.5817 6.5817 4.9992 Å, 90.00 90.00 120.00°
Closest atoms and distances in Å follow each position.
Sites, in units of the cell vectors:
Li: 0.1516 0.3032 0.2500  6 Li 2.99-3.04, 4 Y 3.25-3.30
Li: 0.1516 0.8484 0.2500  6 Li 2.99-3.04, 4 Y 3.25-3.30
Li: 0.3032 0.1516 0.7500  6 Li 2.99-3.04, 4 Y 3.25-3.30
Li: 0.6968 0.8484 0.2500  6 Li 2.99-3.04, 4 Y 3.25-3.30
Li: 0.8484 0.1516 0.7500  6 Li 2.99-3.04, 4 Y 3.25-3.30
Li: 0.8484 0.6968 0.7500  6 Li 2.99-3.04, 4 Y 3.25-3.30
Y: 0.3333 0.6667 0.7500  12 Li 3.25-3.30
Y: 0.6667 0.3333 0.2500  12 Li 3.25-3.30

---

<2>
An optimized crystal structure of Li3Y, computed with PBE.

Computed properties:
Total magnetic moment   0.000 μB per cell
SG   No. 10

Cell: 3.1975 5.1581 5.8053 Å, 90.00 96.85 90.00°
Closest atoms and distances in Å follow each position.
Sites, in units of the cell vectors:
Li: 0.0000 0.0000 0.0000  6 Li 2.98-3.20, 2 Y 3.14
Li: 0.1641 0.5000 0.7685  7 Li 2.98-3.23, 2 Y 3.26
Li: 0.8359 0.5000 0.2315  7 Li 2.98-3.23, 2 Y 3.26
Y: 0.5000 0.0000 0.5000  8 Li 3.14-3.48, 2 Y 3.20

---

<3>
An optimized crystal structure of Li3Y, computed with PBE.

Computed properties:
Total magnetic moment   0.000 μB per cell
SG   No. 25

Cell: 3.2085 5.2592 5.6223 Å, 90.00 90.00 90.00°
Closest atoms and distances in Å follow each position.
Sites, in units of the cell vectors:
Li: 0.0000 0.0000 0.0000  6 Li 3.00-3.21, 4 Y 3.29
Li: 0.0000 0.5000 0.2930  8 Li 3.10-3.21, 4 Y 3.22-3.25
Li: 0.5000 0.0000 0.4519  8 Li 3.00-3.21, 2 Y 3.27
Y: 0.5000 0.5000 0.7963  2 Y 3.21, 10 Li 3.22-3.29

---

<4>
An optimized crystal structure of Li3Y, computed with PBE.

Computed properties:
Total magnetic moment   0.000 μB per cell
SG   No. 187

Cell: 3.3146 3.3146 10.4289 Å, 90.00 90.00 120.00°
Closest atoms and distances in Å follow each position.
Sites, in units of the cell vectors:
Li: 0.0000 0.0000 0.0000  12 Li 3.09-3.31
Li: 0.3333 0.6667 0.2331  9 Li 3.09-3.31, 3 Y 3.38
Li: 0.3333 0.6667 0.7669  9 Li 3.09-3.31, 3 Y 3.38
Y: 0.0000 0.0000 0.5000  6 Y 3.31, 6 Li 3.38

---

Short version: <4> is the most stable of them.

---

<1>
An optimized crystal structure of LiY5, computed with PBE.

Computed properties:
Total magnetic moment   0.000 μB per cell
SG   No. 65

Cell: 7.9713 7.9713 5.0122 Å, 90.00 90.00 144.39°
Closest atoms and distances in Å follow each position.
Sites, in units of the cell vectors:
Li: 0.0000 0.0000 0.0000  12 Y 3.50-3.60
Y: 0.1705 0.8295 0.5000  10 Y 3.43-3.55, 2 Li 3.60
Y: 0.3342 0.6658 0.0000  10 Y 3.50-3.55, 2 Li 3.50
Y: 0.5000 0.5000 0.5000  4 Li 3.50, 8 Y 3.55
Y: 0.6658 0.3342 0.0000  10 Y 3.50-3.55, 2 Li 3.50
Y: 0.8295 0.1705 0.5000  10 Y 3.43-3.55, 2 Li 3.60

---

<2>
An optimized crystal structure of LiY5, computed with PBE.

Computed properties:
Total magnetic moment   0.510 μB per cell
SG   No. 38

Cell: 5.6484 9.3013 9.3013 Å, 22.40 90.00 90.00°
Closest atoms and distances in Å follow each position.
Sites, in units of the cell vectors:
Li: 0.0000 0.0000 0.0000  10 Y 3.48-3.54, 2 Li 3.61
Y: 0.0000 0.3372 0.3372  10 Y 3.48-3.61, 2 Li 3.48
Y: 0.0000 0.6666 0.6666  10 Y 3.49-3.61, 2 Li 3.54
Y: 0.5000 0.2200 0.2200  12 Y 3.49-3.61
Y: 0.5000 0.5501 0.5501  8 Y 3.47-3.61, 4 Li 3.48
Y: 0.5000 0.8878 0.8878  10 Y 3.47-3.61, 2 Li 3.49

---

<3>
An optimized crystal structure of LiY5, computed with PBE.

Computed properties:
Total magnetic moment   0.001 μB per cell
SG   No. 191

Cell: 6.5836 6.5836 5.8229 Å, 90.00 90.00 120.00°
Closest atoms and distances in Å follow each position.
Sites, in units of the cell vectors:
Li: 0.0000 0.0000 0.0000  6 Y 3.80
Y: 0.0000 0.5000 0.5000  8 Y 3.29-3.48
Y: 0.3333 0.6667 0.0000  9 Y 3.48-3.80, 3 Li 3.80
Y: 0.5000 0.0000 0.5000  8 Y 3.29-3.48
Y: 0.5000 0.5000 0.5000  8 Y 3.29-3.48
Y: 0.6667 0.3333 0.0000  9 Y 3.48-3.80, 3 Li 3.80

---

Short version: <2> is the most stable of them.

---

<1>
An optimized crystal structure of LiY3, computed with PBE.

Computed properties:
Total magnetic moment   0.000 μB per cell
SG   No. 123

Cell: 3.6260 3.6260 8.8573 Å, 90.00 90.00 90.00°
Closest atoms and distances in Å follow each position.
Sites, in units of the cell vectors:
Li: 0.0000 0.0000 0.0000  8 Y 3.22
Y: 0.0000 0.0000 0.5000  12 Y 3.57-3.63
Y: 0.5000 0.5000 0.2199  4 Li 3.22, 4 Y 3.57
Y: 0.5000 0.5000 0.7801  4 Li 3.22, 4 Y 3.57

---

<2>
An optimized crystal structure of LiY3, computed with PBE.

Computed properties:
Total magnetic moment   0.017 μB per cell
SG   No. 139

Cell: 6.2693 6.2693 6.2693 Å, 135.54 135.54 64.70°
Closest atoms and distances in Å follow each position.
Sites, in units of the cell vectors:
Li: 0.0000 0.0000 0.0000  12 Y 3.35-3.56
Y: 0.2500 0.7500 0.5000  8 Y 3.35-3.56, 4 Li 3.56
Y: 0.5000 0.5000 0.0000  4 Li 3.35, 8 Y 3.56
Y: 0.7500 0.2500 0.5000  8 Y 3.35-3.56, 4 Li 3.56

---

Short version: <1> is the most stable of them.